This record from the Alexandria database describes a relaxed Er5ScGe4 crystal. The functional is GGA-PBE.

For the final energy, the calculation gives -5.377 eV/atom. The density of states at the Fermi level comes out at 10.7 states/eV per cell. The value obtained for the calculated formation energy is -0.62 eV per atom. The crystal system is monoclinic.

The structure in CIF format:
```
data_Er5ScGe4
_symmetry_space_group_name_H-M 'C 1 2/m 1'
_symmetry_Int_Tables_number 12
_symmetry_space_group_name_Hall '-C 2y'
_cell_length_a 15.098
_cell_length_b 4.813
_cell_length_c 6.782
_cell_angle_alpha 90.00
_cell_angle_beta 90.04
_cell_angle_gamma 90.00
loop_
_atom_site_label
_atom_site_type_symbol
_atom_site_fract_x
_atom_site_fract_y
_atom_site_fract_z
Er1 Er 0.000 0.000 0.000
Er2 Er 0.164 0.500 0.002
Er3 Er 0.164 0.500 0.494
Sc1 Sc 0.000 0.000 0.500
Ge1 Ge 0.009 0.500 0.742
Ge2 Ge 0.178 0.000 0.251
```

---

This record from the Alexandria database describes a relaxed ErSc3Ge2 crystal. The functional is GGA-PBE.

For the final energy, the calculation gives -6.081 eV/atom. The density of states at the Fermi level comes out at 24.8 states/eV per cell. The value obtained for the calculated formation energy is -0.62 eV per atom. The crystal system is monoclinic.

The structure in CIF format:
```
data_ErSc3Ge2
_symmetry_space_group_name_H-M 'C 1 2/m 1'
_symmetry_Int_Tables_number 12
_symmetry_space_group_name_Hall '-C 2y'
_cell_length_a 16.297
_cell_length_b 4.163
_cell_length_c 8.549
_cell_angle_alpha 90.00
_cell_angle_beta 113.37
_cell_angle_gamma 90.00
loop_
_atom_site_label
_atom_site_type_symbol
_atom_site_fract_x
_atom_site_fract_y
_atom_site_fract_z
Er1 Er 0.115 0.000 0.137
Sc1 Sc 0.055 0.000 0.694
Sc2 Sc 0.150 0.500 0.486
Sc3 Sc 0.191 0.500 0.891
Ge1 Ge 0.010 0.500 0.853
Ge2 Ge 0.239 0.000 0.717
```

---

This record from the Alexandria database describes a relaxed ErSc2Ge crystal. The functional is GGA-PBE.

For the final energy, the calculation gives -5.821 eV/atom. The density of states at the Fermi level comes out at 5.0 states/eV per cell. The value obtained for the calculated formation energy is -0.36 eV per atom. The crystal system is tetragonal. The value obtained for the excess energy over the best structure of this formula in the dataset is 0.55 eV per formula unit.

The structure in CIF format:
```
data_ErSc2Ge
_symmetry_space_group_name_H-M 'P 4/m m m'
_symmetry_Int_Tables_number 123
_symmetry_space_group_name_Hall '-P 4 2'
_cell_length_a 4.438
_cell_length_b 4.438
_cell_length_c 4.463
_cell_angle_alpha 90.00
_cell_angle_beta 90.00
_cell_angle_gamma 90.00
loop_
_atom_site_label
_atom_site_type_symbol
_atom_site_fract_x
_atom_site_fract_y
_atom_site_fract_z
Er1 Er 0.000 0.000 0.000
Sc1 Sc 0.000 0.500 0.500
Ge1 Ge 0.500 0.500 0.000
```

---

This record from the Alexandria database describes a relaxed ErSc2Ge crystal. The functional is GGA-PBE.

For the final energy, the calculation gives -5.959 eV/atom. The density of states at the Fermi level comes out at 22.2 states/eV per cell. The value obtained for the calculated formation energy is -0.50 eV per atom. The crystal system is orthorhombic. The value obtained for the excess energy over the best structure of this formula in the dataset is 0.00 eV per formula unit.

The structure in CIF format:
```
data_ErSc2Ge
_symmetry_space_group_name_H-M 'C m c m'
_symmetry_Int_Tables_number 63
_symmetry_space_group_name_Hall '-C 2c 2'
_cell_length_a 3.973
_cell_length_b 11.294
_cell_length_c 8.481
_cell_angle_alpha 90.00
_cell_angle_beta 90.00
_cell_angle_gamma 90.00
loop_
_atom_site_label
_atom_site_type_symbol
_atom_site_fract_x
_atom_site_fract_y
_atom_site_fract_z
Er1 Er 0.000 0.059 0.250
Sc1 Sc 0.000 0.358 0.057
Ge1 Ge 0.000 0.242 0.750
```